# KCaAs2Pb

An optimized crystal structure of KCaAs2Pb (PBE, the Alexandria database).

POSCAR file:
```
KCaAs2Pb
1.0
5.5636 0.0000 0.0000
0.0000 5.5636 0.0000
0.0000 0.0000 5.5788
K Ca As Pb
1 1 2 1
Direct
0.0000 0.0000 0.0000
0.5000 0.5000 0.5000
0.0000 0.5000 0.0000
0.5000 0.0000 0.0000
0.0000 0.0000 0.5000
```

Computed properties:
**Uncorrected energy**: -2.537 eV/atom
**Crystal system**: tetragonal